This record from Alexandria describes a geometry-optimized PrNi4Pt structure. The functional is PBE.

Results
- energy of formation from the pure elements (eV per formula unit) = -1.557
- symmetry = No. 216

Structure (extended XYZ):
```
6
Lattice="-2.628 -3.517 2.367 -0.916 -4.361 -2.241 2.260 -4.149 1.599" Properties=species:S:1:pos:R:3 pbc="T T T"
Pt -0.321 -3.007 0.431
Ni 0.495 -5.762 -0.092
Ni -0.800 -7.496 1.075
Ni -0.349 -5.346 2.180
Ni -1.914 -5.450 0.287
Pr 0.000 0.000 0.000
```

This record from Alexandria describes a geometry-optimized Pr2Ni15Pt2 structure. The functional is PBE.

Results
- energy of formation from the pure elements (eV per formula unit) = -3.810
- symmetry = No. 166

Structure (extended XYZ):
```
19
Lattice="-0.279 4.964 -4.030 0.811 -3.340 -5.399 -6.197 -0.567 -1.496" Properties=species:S:1:pos:R:3 pbc="T T T"
Ni -0.140 2.482 -2.015
Ni 0.492 -0.917 -4.999
Ni -4.470 1.047 -2.236
Pt -0.608 0.113 -1.172
Ni -1.234 -2.531 -4.260
Ni 0.039 2.540 -4.429
Ni -0.627 0.973 -6.405
Ni -2.097 2.833 -5.780
Ni -3.568 -1.776 -5.145
Ni 0.405 -1.670 -2.699
Pr -1.954 0.364 -3.768
Ni -3.098 -0.283 -0.748
Ni -4.110 2.352 -4.465
Pr -3.712 0.692 -7.157
Ni -2.006 3.350 -3.291
Ni -4.152 -1.376 -2.635
Ni -5.039 0.084 -4.520
Pt -5.058 0.943 -9.753
Ni -1.556 -1.295 -6.460
```

This record from Alexandria describes a geometry-optimized Pr8NiPt2 structure. The functional is PBE.

Results
- energy of formation from the pure elements (eV per formula unit) = -4.702
- symmetry = No. 12
- E above lowest polymorph (meV per atom) = 0

Structure (extended XYZ):
```
11
Lattice="5.102 0.000 0.000 0.000 7.058 0.635 -2.551 -2.257 8.704" Properties=species:S:1:pos:R:3 pbc="T T T"
Pr 0.000 1.436 3.752
Pr 2.551 -0.573 8.290
Pr 0.000 -1.292 5.884
Pr 2.551 3.365 5.587
Pr 0.000 5.374 1.049
Pr 2.551 2.742 1.811
Pr 2.551 6.093 3.455
Pr 0.000 2.059 7.528
Pt 2.551 0.459 5.408
Pt 0.000 4.342 3.930
Ni 2.551 0.000 0.000
```

This record from Alexandria describes a geometry-optimized Pr6NiPt2 structure. The functional is PBE.

Results
- energy of formation from the pure elements (eV per formula unit) = -5.047
- symmetry = No. 14

Structure (extended XYZ):
```
18
Lattice="6.852 0.000 0.123 0.000 7.448 0.000 0.540 0.000 10.480" Properties=species:S:1:pos:R:3 pbc="T T T"
Pt 0.800 4.581 8.072
Pr 2.730 6.142 9.737
Pr 4.862 1.359 4.626
Pr 5.686 5.083 0.799
Pr 1.188 0.297 2.583
Pr 2.509 4.022 2.719
Pt 3.956 6.592 2.893
Ni 0.270 0.000 5.240
Pr 1.506 2.417 6.045
Pr 4.662 1.307 0.866
Pr 2.530 6.089 5.977
Pr 5.886 5.031 4.558
Pr 6.205 7.151 8.020
Pt 6.592 2.868 2.532
Pt 3.436 0.856 7.710
Pr 4.884 3.427 7.884
Ni 3.426 3.724 0.062
Pr 1.706 2.365 9.804
```

| no. | M_tot (μB per cell) | E (eV/atom) | DOS at the Fermi energy (states/eV per cell) |
| --- | --- | --- | --- |
| 1 | 1.8 | -5.917 | 9.53 |
| 2 | 6.9 | -5.904 | 25.28 |
| 3 | 0.0 | -5.527 | 10.86 |
| 4 | 0.0 | -5.732 | 17.77 |